Record 1
VASP calculation (PBE-GGA) on an optimized crystal structure of NiPdSe3.

Properties
Total magnetic moment in μB per formula unit: 1.90
Formation energy (no corrections) in eV/atom: 0.814
SG: Pm-3m
Energy above the most stable polymorph in this dataset in eV per atom: 1.022
Energy in eV per atom: -3.47

Cell lengths 4.9184, 4.9184, 4.9184 Å; angles 90.00, 90.00, 90.00 degrees
With the nearest neighbours (Å) after each atom.
Atoms (fractional coordinates):
Ni: 0.0000 0.0000 0.0000  12 Se 3.48
Pd: 0.5000 0.5000 0.5000  6 Se 2.46
Se: 0.0000 0.5000 0.5000  2 Pd 2.46
Se: 0.5000 0.0000 0.5000  2 Pd 2.46
Se: 0.5000 0.5000 0.0000  2 Pd 2.46

=====

Record 2
VASP calculation (PBE-GGA) on an optimized crystal structure of GdOF.

Properties
Total magnetic moment in μB per formula unit: 6.99
Formation energy (no corrections) in eV/atom: -3.548
SG: P3m1
Energy in eV per atom: -10.52

Cell lengths 3.6258, 3.6258, 4.9009 Å; angles 90.00, 90.00, 120.00 degrees
With the nearest neighbours (Å) after each atom.
Atoms (fractional coordinates):
Gd: 0.0000 0.0000 0.0000  3 O 2.22, 3 F 2.43
O: 0.6667 0.3333 0.1508  3 Gd 2.22
F: 0.3333 0.6667 0.7479  3 Gd 2.43

=====

Record 3
VASP calculation (PBE-GGA) on an optimized crystal structure of Dy4Ge2Se.

Properties
Total magnetic moment in μB per formula unit: 0.00
Formation energy (no corrections) in eV/atom: -1.043
SG: I-42d
Energy in eV per atom: -5.49

Cell lengths 7.6019, 7.6019, 7.6019 Å; angles 109.64, 109.64, 109.13 degrees
With the nearest neighbours (Å) after each atom.
Atoms (fractional coordinates):
Dy: 0.1189 0.0050 0.7453  4 Ge 2.88-3.21, 1 Se 2.88
Dy: 0.1236 0.5097 0.7547  4 Ge 2.88-3.21, 1 Se 2.88
Dy: 0.2597 0.3736 0.2547  4 Ge 2.88-3.21, 1 Se 2.88
Dy: 0.4903 0.2450 0.6139  4 Ge 2.88-3.21, 1 Se 2.88
Dy: 0.6264 0.8811 0.8861  4 Ge 2.88-3.21, 1 Se 2.88
Dy: 0.6311 0.8764 0.3861  4 Ge 2.88-3.21, 1 Se 2.88
Dy: 0.7550 0.3689 0.2453  4 Ge 2.88-3.21, 1 Se 2.88
Dy: 0.9950 0.7403 0.1139  4 Ge 2.88-3.21, 1 Se 2.88
Ge: 0.0037 0.1250 0.3787  8 Dy 2.88-3.21
Ge: 0.3750 0.9963 0.1213  8 Dy 2.88-3.21
Ge: 0.7463 0.6250 0.6213  8 Dy 2.88-3.21
Ge: 0.8750 0.2537 0.8787  8 Dy 2.88-3.21
Se: 0.2500 0.7500 0.5000  4 Dy 2.88
Se: 0.5000 0.5000 0.0000  4 Dy 2.88

=====

Record 4
VASP calculation (PBE-GGA) on an optimized crystal structure of CsErTe2O8.

Properties
Total magnetic moment in μB per formula unit: 0.10
Formation energy (no corrections) in eV/atom: -1.606
SG: P-3
Energy in eV per atom: -5.89

Cell lengths 5.8067, 5.8067, 9.1646 Å; angles 90.00, 90.00, 120.00 degrees
With the nearest neighbours (Å) after each atom.
Atoms (fractional coordinates):
Cs: 0.0000 0.0000 0.0000  12 O 3.44-3.68
Er: 0.0000 0.0000 0.5000  6 O 2.23
Te: 0.3333 0.6667 0.7157  4 O 1.82-1.85
Te: 0.6667 0.3333 0.2843  4 O 1.82-1.85
O: 0.0797 0.3368 0.6476  1 Te 1.85
O: 0.2571 0.9203 0.6476  1 Te 1.85
O: 0.3333 0.6667 0.9144  1 Te 1.82
O: 0.3368 0.2571 0.3524  1 Te 1.85
O: 0.6632 0.7429 0.6476  1 Te 1.85
O: 0.6667 0.3333 0.0856  1 Te 1.82
O: 0.7429 0.0797 0.3524  1 Te 1.85
O: 0.9203 0.6632 0.3524  1 Te 1.85